(1)
A plane-wave DFT calculation with PBE was carried out for a relaxed structure of ZnTeIr2.

Geometry as POSCAR:
```
ZnTeIr2
1.0
1.479 -2.529 0.000
1.479 2.529 0.000
0.000 0.000 9.073
Zn Te Ir
1 1 2
Direct
0.000 0.000 0.000 Zn
0.000 0.000 0.500 Te
0.500 0.500 0.231 Ir
0.500 0.500 0.769 Ir
```

Final energy: -20.4 eV per cell
Formation energy (no corrections): 425 meV per atom
N(E_F): 0.410 states/eV/atom
Energy relative to the lowest polymorph listed for this composition: 0.235 eV/atom



(2)
A plane-wave DFT calculation with PBE was carried out for a relaxed structure of MgRe2Os.

Geometry as POSCAR:
```
MgRe2Os
1.0
4.839 -1.408 0.000
4.839 1.408 0.000
-1.154 0.000 4.535
Mg Re Os
1 2 1
Direct
0.000 0.000 0.000 Mg
0.232 0.232 0.731 Re
0.768 0.768 0.269 Re
0.500 0.500 0.500 Os
```

Final energy: -36.8 eV per cell
N(E_F): 1.034 states/eV/atom
E_form: 0.24 eV/atom



(3)
A plane-wave DFT calculation with PBE was carried out for a relaxed structure of La4GaSbI2.

Geometry as POSCAR:
```
La4GaSbI2
1.0
8.007 0.000 0.000
0.000 4.591 0.000
-2.637 0.000 7.564
La Ga Sb I
4 1 1 2
Direct
0.213 0.000 0.224 La
0.220 0.500 0.754 La
0.780 0.500 0.246 La
0.787 0.000 0.776 La
0.000 0.500 0.000 Ga
0.000 0.000 0.500 Sb
0.500 0.000 0.000 I
0.500 0.500 0.500 I
```

Final energy: -38.2 eV per cell
Formation energy (no corrections): -1028 meV per atom
N(E_F): 0.641 states/eV/atom



(4)
A plane-wave DFT calculation with PBE was carried out for a relaxed structure of RbZr2Sb2.

Geometry as POSCAR:
```
RbZr2Sb2
1.0
-2.375 2.375 7.570
2.375 -2.375 7.570
2.375 2.375 -7.570
Rb Zr Sb
1 2 2
Direct
0.000 0.000 0.000 Rb
0.250 0.750 0.500 Zr
0.750 0.250 0.500 Zr
0.360 0.360 0.000 Sb
0.640 0.640 0.000 Sb
```

Final energy: -28.5 eV per cell
Formation energy (no corrections): -429 meV per atom
N(E_F): 0.708 states/eV/atom
Energy relative to the lowest polymorph listed for this composition: 0.000 eV/atom



(5)
A plane-wave DFT calculation with PBE was carried out for a relaxed structure of Pr3Nd3TlZn2.

Geometry as POSCAR:
```
Pr3Nd3TlZn2
1.0
8.944 0.000 0.000
-4.472 7.746 0.000
0.000 0.000 3.892
Pr Nd Tl Zn
3 3 1 2
Direct
0.000 0.297 0.000 Pr
0.297 0.000 0.000 Pr
0.703 0.703 0.000 Pr
0.000 0.617 0.500 Nd
0.383 0.383 0.500 Nd
0.617 0.000 0.500 Nd
0.000 0.000 0.500 Tl
0.333 0.667 0.000 Zn
0.667 0.333 0.000 Zn
```

Final energy: -34.8 eV per cell
N(E_F): 1.362 states/eV/atom
E_form: -0.14 eV/atom



(6)
A plane-wave DFT calculation with PBE was carried out for a relaxed structure of CaPr2VN4.

Geometry as POSCAR:
```
CaPr2VN4
1.0
1.753 -6.069 0.000
1.753 6.069 0.000
0.000 0.000 12.421
Ca Pr V N
2 4 2 8
Direct
0.105 0.895 0.750 Ca
0.895 0.105 0.250 Ca
0.369 0.631 0.541 Pr
0.369 0.631 0.959 Pr
0.631 0.369 0.041 Pr
0.631 0.369 0.459 Pr
0.177 0.823 0.250 V
0.823 0.177 0.750 V
0.000 0.000 0.000 N
0.000 0.000 0.500 N
0.267 0.733 0.136 N
0.267 0.733 0.364 N
0.401 0.599 0.750 N
0.599 0.401 0.250 N
0.733 0.267 0.636 N
0.733 0.267 0.864 N
```

Final energy: -125.0 eV per cell
Formation energy (no corrections): -1067 meV per atom
N(E_F): 0.470 states/eV/atom